Entry 1:
Material: Na4SmU3Se8
Method: DFT, GGA-PBE
State: optimized geometry

## Properties
The value obtained for the formation energy (no corrections) is -1.30 eV/atom. The value obtained for the density of states at the Fermi level is 16.10 states/eV/f.u. As for the electronic total energy: -277.52 eV for the cell shown.

CIF file:
```
data_Na4SmU3Se8
_chemical_formula_sum 'Na12 Sm3 U9 Se24'
_cell_length_a 8.3149
_cell_length_b 8.3149
_cell_length_c 21.2123
_cell_angle_alpha 90.00
_cell_angle_beta 90.00
_cell_angle_gamma 120.00
_space_group_name_H-M_alt 'R -3 m'
_space_group_IT_number 166
_space_group_name_Hall '-R 3 2"'
loop_
_atom_site_label
_atom_site_fract_x
_atom_site_fract_y
_atom_site_fract_z
Na1 0.0000 0.0000 0.0000
Na2 0.0000 0.5000 0.0000
Sm1 0.0000 0.0000 0.5000
U1 0.0000 0.5000 0.5000
Se1 0.0000 0.0000 0.2446
Se2 0.0029 0.5015 0.7549
```



Entry 2:
Material: NaSmUSe4
Method: DFT, GGA-PBE
State: optimized geometry

## Properties
The value obtained for the formation energy (no corrections) is -1.43 eV/atom. The value obtained for the density of states at the Fermi level is 4.34 states/eV/f.u. As for the electronic total energy: -165.00 eV for the cell shown.

CIF file:
```
data_NaSmUSe4
_chemical_formula_sum 'Na4 Sm4 U4 Se16'
_cell_length_a 8.572
_cell_length_b 8.592
_cell_length_c 12.103
_cell_angle_alpha 90.00
_cell_angle_beta 90.00
_cell_angle_gamma 90.00
_space_group_name_H-M_alt 'I m m a'
_space_group_IT_number 74
_space_group_name_Hall '-I 2b 2'
loop_
_atom_site_label
_atom_site_fract_x
_atom_site_fract_y
_atom_site_fract_z
Na1 0.000 0.250 0.123
Sm1 0.000 0.000 0.500
U1 0.250 0.250 0.750
Se1 0.000 0.029 0.743
Se2 0.232 0.250 0.517
```



Entry 3:
Material: NaSm2USe4
Method: DFT, GGA-PBE
State: optimized geometry

## Properties
The value obtained for the formation energy (no corrections) is -1.52 eV/atom. The value obtained for the density of states at the Fermi level is 6.11 states/eV/f.u. As for the electronic total energy: -48.12 eV for the cell shown.

CIF file:
```
data_NaSm2USe4
_chemical_formula_sum 'Na1 Sm2 U1 Se4'
_cell_length_a 7.213
_cell_length_b 4.126
_cell_length_c 7.246
_cell_angle_alpha 90.00
_cell_angle_beta 109.03
_cell_angle_gamma 90.00
_space_group_name_H-M_alt 'P 1 2/m 1'
_space_group_IT_number 10
loop_
_space_group_symop_operation_xyz
'x,y,z'
'-x,-y,-z'
'-x,y,-z'
'x,-y,z'
loop_
_atom_site_label
_atom_site_fract_x
_atom_site_fract_y
_atom_site_fract_z
Na1 0.000 0.000 0.000
Sm1 0.500 0.000 0.500
Sm2 0.500 0.500 0.000
U1 0.000 0.500 0.500
Se1 0.245 0.000 0.749
Se2 0.248 0.500 0.252
```



Entry 4:
Material: Na3SmU2Se6
Method: DFT, GGA-PBE
State: optimized geometry

## Properties
The value obtained for the formation energy (no corrections) is -1.34 eV/atom. The value obtained for the density of states at the Fermi level is 9.21 states/eV/f.u. As for the electronic total energy: -136.49 eV for the cell shown.

CIF file:
```
data_Na3SmU2Se6
_chemical_formula_sum 'Na6 Sm2 U4 Se12'
_cell_length_a 7.222
_cell_length_b 12.509
_cell_length_c 7.457
_cell_angle_alpha 90.00
_cell_angle_beta 108.85
_cell_angle_gamma 90.00
_space_group_name_H-M_alt 'C 1 2/m 1'
_space_group_IT_number 12
loop_
_space_group_symop_operation_xyz
'x,y,z'
'-x,-y,-z'
'-x,y,-z'
'x,-y,z'
'x+1/2,y+1/2,z'
'-x+1/2,-y+1/2,-z'
'-x+1/2,y+1/2,-z'
'x+1/2,-y+1/2,z'
loop_
_atom_site_label
_atom_site_fract_x
_atom_site_fract_y
_atom_site_fract_z
Na1 0.000 0.000 0.000
Na2 0.000 0.335 0.000
Sm1 0.000 0.500 0.500
U1 0.000 0.167 0.500
Se1 0.241 0.000 0.735
Se2 0.247 0.331 0.734
```



Copy entry 3 word for word.
Material: NaSm2USe4
Method: DFT, GGA-PBE
State: optimized geometry

## Properties
The value obtained for the formation energy (no corrections) is -1.52 eV/atom. The value obtained for the density of states at the Fermi level is 6.11 states/eV/f.u. As for the electronic total energy: -48.12 eV for the cell shown.

CIF file:
```
data_NaSm2USe4
_chemical_formula_sum 'Na1 Sm2 U1 Se4'
_cell_length_a 7.213
_cell_length_b 4.126
_cell_length_c 7.246
_cell_angle_alpha 90.00
_cell_angle_beta 109.03
_cell_angle_gamma 90.00
_space_group_name_H-M_alt 'P 1 2/m 1'
_space_group_IT_number 10
loop_
_space_group_symop_operation_xyz
'x,y,z'
'-x,-y,-z'
'-x,y,-z'
'x,-y,z'
loop_
_atom_site_label
_atom_site_fract_x
_atom_site_fract_y
_atom_site_fract_z
Na1 0.000 0.000 0.000
Sm1 0.500 0.000 0.500
Sm2 0.500 0.500 0.000
U1 0.000 0.500 0.500
Se1 0.245 0.000 0.749
Se2 0.248 0.500 0.252
```



Please write out number 4 again, unchanged.
Material: Na3SmU2Se6
Method: DFT, GGA-PBE
State: optimized geometry

## Properties
The value obtained for the formation energy (no corrections) is -1.34 eV/atom. The value obtained for the density of states at the Fermi level is 9.21 states/eV/f.u. As for the electronic total energy: -136.49 eV for the cell shown.

CIF file:
```
data_Na3SmU2Se6
_chemical_formula_sum 'Na6 Sm2 U4 Se12'
_cell_length_a 7.222
_cell_length_b 12.509
_cell_length_c 7.457
_cell_angle_alpha 90.00
_cell_angle_beta 108.85
_cell_angle_gamma 90.00
_space_group_name_H-M_alt 'C 1 2/m 1'
_space_group_IT_number 12
loop_
_space_group_symop_operation_xyz
'x,y,z'
'-x,-y,-z'
'-x,y,-z'
'x,-y,z'
'x+1/2,y+1/2,z'
'-x+1/2,-y+1/2,-z'
'-x+1/2,y+1/2,-z'
'x+1/2,-y+1/2,z'
loop_
_atom_site_label
_atom_site_fract_x
_atom_site_fract_y
_atom_site_fract_z
Na1 0.000 0.000 0.000
Na2 0.000 0.335 0.000
Sm1 0.000 0.500 0.500
U1 0.000 0.167 0.500
Se1 0.241 0.000 0.735
Se2 0.247 0.331 0.734
```



- Look up the electronic total energy of the first one.
  -277.52 eV for the cell shown



- Among the records above, which one has the highest electronic total energy?
  NaSm2USe4